(1)
Computed, not measured: a relaxed Nd4Sm3Dy2 crystal at the PBE-GGA level of DFT.

Values from the calculation:
- Relative energy among the computed polymorphs: 0.000 eV/atom
- Formation energy from the elements: 0.013 eV/atom
- Magnetization: 0.000 μB per formula unit
- Crystal system: monoclinic

Structure (POSCAR):
```
Nd4Sm3Dy2
1.0
6.0058 -1.8199 0.0000
6.0058 1.8199 0.0000
-5.4786 0.0000 13.9335
Nd Sm Dy
4 3 2
direct
0.1674 0.1674 0.1670
0.2787 0.2787 0.6115
0.7213 0.7213 0.3885
0.8326 0.8326 0.8330
0.3889 0.3889 0.0564
0.5000 0.5000 0.5000
0.6111 0.6111 0.9436
0.0558 0.0558 0.7223
0.9442 0.9442 0.2777
```

---

(2)
Computed, not measured: a relaxed Nd2SmDy6 crystal at the PBE-GGA level of DFT.

Values from the calculation:
- Relative energy among the computed polymorphs: 0.000 eV/atom
- Formation energy from the elements: 0.019 eV/atom
- Magnetization: 0.000 μB per formula unit
- Crystal system: monoclinic

Structure (POSCAR):
```
Nd2SmDy6
1.0
7.5964 -2.5305 0.0000
7.5964 2.5305 0.0000
-7.5882 0.0000 7.6107
Nd Sm Dy
2 1 6
direct
0.1663 0.1663 0.3326
0.8337 0.8337 0.6674
0.5000 0.5000 0.0000
0.1654 0.1654 0.6671
0.1680 0.1680 0.0000
0.4983 0.4983 0.3330
0.5017 0.5017 0.6670
0.8320 0.8320 0.0000
0.8346 0.8346 0.3329
```

---

(3)
Computed, not measured: a relaxed Nd2Sm2Dy crystal at the PBE-GGA level of DFT.

Values from the calculation:
- Relative energy among the computed polymorphs: 0.065 eV/atom
- Formation energy from the elements: 0.134 eV/atom
- Magnetization: 0.000 μB per formula unit
- Crystal system: orthorhombic

Structure (POSCAR):
```
Nd2Sm2Dy
1.0
-1.8184 2.9097 16.2076
1.8184 -2.9097 16.2076
1.8184 2.9097 -16.2076
Nd Sm Dy
4 4 2
direct
0.0435 0.2935 0.7500
0.4417 0.1917 0.2500
0.5583 0.8083 0.7500
0.9565 0.7065 0.2500
0.1317 0.8817 0.2500
0.2292 0.9792 0.2500
0.7708 0.0208 0.7500
0.8683 0.1183 0.7500
0.3273 0.5773 0.7500
0.6727 0.4227 0.2500
```